(1)
# MoPd3 (PBE, optimized geometry)
# calculated formation energy: -5 kJ/mol of atoms
# volume: 122 Å³/cell
# total magnetic moment: 0.0 μB/cell
data_MoPd3
_cell_length_a 3.885
_cell_length_b 3.885
_cell_length_c 8.054
_cell_angle_alpha 90.00
_cell_angle_beta 90.00
_cell_angle_gamma 90.00
_symmetry_space_group_name_H-M 'I 4/m m m'
_symmetry_Int_Tables_number 139
_symmetry_space_group_name_Hall '-I 4 2'
loop_
_atom_site_label
_atom_site_type_symbol
_atom_site_fract_x
_atom_site_fract_y
_atom_site_fract_z
_atom_site_occupancy
Mo1 Mo 0.000 0.000 0.000 1
Pd1 Pd 0.000 0.000 0.500 1
Pd2 Pd 0.000 0.500 0.250 1



(2)
# MoPd3 (PBE, optimized geometry)
# calculated formation energy: -7 kJ/mol of atoms
# volume: 184 Å³/cell
# total magnetic moment: 0.0 μB/cell
data_MoPd3
_cell_length_a 2.7828
_cell_length_b 2.7828
_cell_length_c 27.4476
_cell_angle_alpha 90.00
_cell_angle_beta 90.00
_cell_angle_gamma 120.00
_symmetry_space_group_name_H-M 'R -3 m'
_symmetry_Int_Tables_number 166
_symmetry_space_group_name_Hall '-R 3 2"'
loop_
_atom_site_label
_atom_site_type_symbol
_atom_site_fract_x
_atom_site_fract_y
_atom_site_fract_z
_atom_site_occupancy
Mo1 Mo 0.0000 0.0000 0.0000 1
Pd1 Pd 0.0000 0.0000 0.2522 1
Pd2 Pd 0.0000 0.0000 0.5000 1



(3)
# MoPd2 (PBE, optimized geometry)
# calculated formation energy: -9 kJ/mol of atoms
# volume: 92 Å³/cell
# total magnetic moment: 0.0 μB/cell
data_MoPd2
_cell_length_a 2.767
_cell_length_b 2.767
_cell_length_c 12.015
_cell_angle_alpha 90.00
_cell_angle_beta 90.00
_cell_angle_gamma 90.00
_symmetry_space_group_name_H-M 'I 4/m m m'
_symmetry_Int_Tables_number 139
_symmetry_space_group_name_Hall '-I 4 2'
loop_
_atom_site_label
_atom_site_type_symbol
_atom_site_fract_x
_atom_site_fract_y
_atom_site_fract_z
_atom_site_occupancy
Mo1 Mo 0.000 0.000 0.000 1
Pd1 Pd 0.000 0.000 0.337 1



(4)
# MoPd3 (PBE, optimized geometry)
# calculated formation energy: 5 kJ/mol of atoms
# volume: 62 Å³/cell
# total magnetic moment: 2.1 μB/cell
data_MoPd3
_cell_length_a 3.956
_cell_length_b 3.956
_cell_length_c 3.956
_cell_angle_alpha 90.00
_cell_angle_beta 90.00
_cell_angle_gamma 90.00
_symmetry_space_group_name_H-M 'P m -3 m'
_symmetry_Int_Tables_number 221
_symmetry_space_group_name_Hall '-P 4 2 3'
loop_
_atom_site_label
_atom_site_type_symbol
_atom_site_fract_x
_atom_site_fract_y
_atom_site_fract_z
_atom_site_occupancy
Mo1 Mo 0.000 0.000 0.000 1
Pd1 Pd 0.000 0.500 0.500 1



(5)
# MoPd3 (PBE, optimized geometry)
# calculated formation energy: 0 kJ/mol of atoms
# volume: 122 Å³/cell
# total magnetic moment: 0.0 μB/cell
data_MoPd3
_cell_length_a 2.772
_cell_length_b 9.094
_cell_length_c 4.853
_cell_angle_alpha 90.00
_cell_angle_beta 90.00
_cell_angle_gamma 90.00
_symmetry_space_group_name_H-M 'I m m 2'
_symmetry_Int_Tables_number 44
_symmetry_space_group_name_Hall 'I 2 -2'
loop_
_atom_site_label
_atom_site_type_symbol
_atom_site_fract_x
_atom_site_fract_y
_atom_site_fract_z
_atom_site_occupancy
Mo1 Mo 0.000 0.000 0.000 1
Pd1 Pd 0.000 0.253 0.663 1
Pd2 Pd 0.000 0.500 0.002 1



(6)
# MoPd3 (PBE, optimized geometry)
# calculated formation energy: -1 kJ/mol of atoms
# volume: 61 Å³/cell
# total magnetic moment: 0.0 μB/cell
data_MoPd3
_cell_length_a 2.764
_cell_length_b 4.534
_cell_length_c 4.884
_cell_angle_alpha 90.00
_cell_angle_beta 90.00
_cell_angle_gamma 90.00
_symmetry_space_group_name_H-M 'P m m 2'
_symmetry_Int_Tables_number 25
_symmetry_space_group_name_Hall 'P 2 -2'
loop_
_atom_site_label
_atom_site_type_symbol
_atom_site_fract_x
_atom_site_fract_y
_atom_site_fract_z
_atom_site_occupancy
Mo1 Mo 0.000 0.000 0.000 1
Pd1 Pd 0.000 0.500 0.693 1
Pd2 Pd 0.500 0.000 0.500 1
Pd3 Pd 0.500 0.500 0.185 1



(7)
# MoPd3 (PBE, optimized geometry)
# calculated formation energy: 2 kJ/mol of atoms
# volume: 246 Å³/cell
# total magnetic moment: 0.0 μB/cell
data_MoPd3
_cell_length_a 4.768
_cell_length_b 9.112
_cell_length_c 5.651
_cell_angle_alpha 90.00
_cell_angle_beta 90.00
_cell_angle_gamma 90.00
_symmetry_space_group_name_H-M 'P n m a'
_symmetry_Int_Tables_number 62
_symmetry_space_group_name_Hall '-P 2ac 2n'
loop_
_atom_site_label
_atom_site_type_symbol
_atom_site_fract_x
_atom_site_fract_y
_atom_site_fract_z
_atom_site_occupancy
Mo1 Mo 0.083 0.250 0.128 1
Pd1 Pd 0.087 0.250 0.626 1
Pd2 Pd 0.244 0.503 0.877 1



(8)
# MoPd5 (PBE, optimized geometry)
# calculated formation energy: -6 kJ/mol of atoms
# volume: 92 Å³/cell
# total magnetic moment: 0.0 μB/cell
data_MoPd5
_cell_length_a 4.8423
_cell_length_b 4.8423
_cell_length_c 4.5091
_cell_angle_alpha 90.00
_cell_angle_beta 90.00
_cell_angle_gamma 120.00
_symmetry_space_group_name_H-M 'P -6 2 m'
_symmetry_Int_Tables_number 189
_symmetry_space_group_name_Hall 'P -6 -2'
loop_
_atom_site_label
_atom_site_type_symbol
_atom_site_fract_x
_atom_site_fract_y
_atom_site_fract_z
_atom_site_occupancy
Mo1 Mo 0.0000 0.0000 0.0000 1
Pd1 Pd 0.0000 0.3281 0.5000 1
Pd2 Pd 0.3333 0.6667 0.0000 1



(9)
# MoPd (PBE, optimized geometry)
# calculated formation energy: 164 kJ/mol of atoms
# volume: 337 Å³/cell
# total magnetic moment: 0.0 μB/cell
data_MoPd
_cell_length_a 6.962
_cell_length_b 6.962
_cell_length_c 6.962
_cell_angle_alpha 90.00
_cell_angle_beta 90.00
_cell_angle_gamma 90.00
_symmetry_space_group_name_H-M 'P m -3 n'
_symmetry_Int_Tables_number 223
_symmetry_space_group_name_Hall '-P 4n 2 3'
loop_
_atom_site_label
_atom_site_type_symbol
_atom_site_fract_x
_atom_site_fract_y
_atom_site_fract_z
_atom_site_occupancy
Mo1 Mo 0.000 0.250 0.500 1
Pd1 Pd 0.000 0.500 0.250 1



(10)
# MoPd (PBE, optimized geometry)
# calculated formation energy: 10 kJ/mol of atoms
# volume: 93 Å³/cell
# total magnetic moment: 0.0 μB/cell
data_MoPd
_cell_length_a 2.7688
_cell_length_b 2.7688
_cell_length_c 13.9872
_cell_angle_alpha 90.00
_cell_angle_beta 90.00
_cell_angle_gamma 120.00
_symmetry_space_group_name_H-M 'R -3 m'
_symmetry_Int_Tables_number 166
_symmetry_space_group_name_Hall '-R 3 2"'
loop_
_atom_site_label
_atom_site_type_symbol
_atom_site_fract_x
_atom_site_fract_y
_atom_site_fract_z
_atom_site_occupancy
Mo1 Mo 0.0000 0.0000 0.0000 1
Pd1 Pd 0.0000 0.0000 0.5000 1



(11)
# MoPd (PBE, optimized geometry)
# calculated formation energy: 38 kJ/mol of atoms
# volume: 531 Å³/cell
# total magnetic moment: 0.0 μB/cell
data_MoPd
_cell_length_a 4.336
_cell_length_b 8.348
_cell_length_c 14.682
_cell_angle_alpha 90.00
_cell_angle_beta 90.00
_cell_angle_gamma 90.00
_symmetry_space_group_name_H-M 'F d d d'
_symmetry_Int_Tables_number 70
loop_
_symmetry_equiv_pos_as_xyz
'x,y,z'
'-x,-y,-z'
'-x+1/4,-y+1/4,z'
'x+1/4,y+1/4,-z'
'x,-y+1/4,-z+1/4'
'-x,y+1/4,z+1/4'
'-x+1/4,y,-z+1/4'
'x+1/4,-y,z+1/4'
'x,y+1/2,z+1/2'
'-x,-y+1/2,-z+1/2'
'-x+1/4,-y+3/4,z+1/2'
'x+1/4,y+3/4,-z+1/2'
'x,-y+3/4,-z+3/4'
'-x,y+3/4,z+3/4'
'-x+1/4,y+1/2,-z+3/4'
'x+1/4,-y+1/2,z+3/4'
'x+1/2,y,z+1/2'
'-x+1/2,-y,-z+1/2'
'-x+3/4,-y+1/4,z+1/2'
'x+3/4,y+1/4,-z+1/2'
'x+1/2,-y+1/4,-z+3/4'
'-x+1/2,y+1/4,z+3/4'
'-x+3/4,y,-z+3/4'
'x+3/4,-y,z+3/4'
'x+1/2,y+1/2,z'
'-x+1/2,-y+1/2,-z'
'-x+3/4,-y+3/4,z'
'x+3/4,y+3/4,-z'
'x+1/2,-y+3/4,-z+1/4'
'-x+1/2,y+3/4,z+1/4'
'-x+3/4,y+1/2,-z+1/4'
'x+3/4,-y+1/2,z+1/4'
loop_
_atom_site_label
_atom_site_type_symbol
_atom_site_fract_x
_atom_site_fract_y
_atom_site_fract_z
_atom_site_occupancy
Mo1 Mo 0.125 0.125 0.041 1
Pd1 Pd 0.125 0.282 0.625 1



(12)
# MoPd2 (PBE, optimized geometry)
# calculated formation energy: -2 kJ/mol of atoms
# volume: 93 Å³/cell
# total magnetic moment: 0.0 μB/cell
data_MoPd2
_cell_length_a 4.865
_cell_length_b 2.797
_cell_length_c 7.005
_cell_angle_alpha 90.00
_cell_angle_beta 103.71
_cell_angle_gamma 90.00
_symmetry_space_group_name_H-M 'C 1 2/m 1'
_symmetry_Int_Tables_number 12
_symmetry_space_group_name_Hall '-C 2y'
loop_
_atom_site_label
_atom_site_type_symbol
_atom_site_fract_x
_atom_site_fract_y
_atom_site_fract_z
_atom_site_occupancy
Mo1 Mo 0.000 0.000 0.000 1
Pd1 Pd 0.221 0.000 0.674 1



Density of states at the Fermi level for the records above, in order: 6.81; 9.56; 6.11; 3.11; 6.24; 5.71; 18.58; 6.51; 16.03; 8.80; 39.41; 6.48 states/eV/cell